## SmDy2Se (PBE)

Data for a relaxed structure of SmDy2Se.

Calculated values
The calculation puts the uncorrected formation energy at -0.56 eV per atom. The density of states at the Fermi level comes out at 4.7 states/eV/f.u. For the energy above the most stable polymorph in this dataset, the calculation gives 246 meV per atom.

abc: 10.6290 10.6290 10.6290
angles: 20.16 20.16 20.16
Closest atoms and distances in Å follow each position.
Fractional positions:
Sm: 0.0000 0.0000 0.0000  2 Dy 3.40, 6 Sm 3.72
Dy: 0.1090 0.1090 0.1090  3 Se 2.80
Dy: 0.8910 0.8910 0.8910  3 Se 2.80
Se: 0.5000 0.5000 0.5000  6 Dy 2.80

=====

## Sm2Dy3Se8 (PBE)

Data for a relaxed structure of Sm2Dy3Se8.

Calculated values
The calculation puts the uncorrected formation energy at -1.72 eV per atom. The density of states at the Fermi level comes out at 6.5 states/eV/f.u.

abc: 8.3130 8.3130 7.0328
angles: 106.84 106.84 59.76
Closest atoms and distances in Å follow each position.
Fractional positions:
Sm: 0.2407 0.2407 0.1618  6 Se 2.89-2.97
Sm: 0.7593 0.7593 0.8382  6 Se 2.89-2.97
Dy: 0.2388 0.7612 0.5000  6 Se 2.82-2.90
Dy: 0.5000 0.5000 0.0000  6 Se 2.83-2.88
Dy: 0.7612 0.2388 0.5000  6 Se 2.82-2.90
Se: 0.1208 0.1208 0.4192  2 Dy 2.82, 1 Sm 2.89
Se: 0.1411 0.6163 0.0873  2 Dy 2.83-2.85, 2 Sm 2.96-2.97
Se: 0.3837 0.3837 0.5781  3 Dy 2.88-2.90, 1 Sm 2.96
Se: 0.3837 0.8589 0.9127  2 Dy 2.83-2.85, 2 Sm 2.96-2.97
Se: 0.6163 0.1411 0.0873  2 Dy 2.83-2.85, 2 Sm 2.96-2.97
Se: 0.6163 0.6163 0.4219  3 Dy 2.88-2.90, 1 Sm 2.96
Se: 0.8589 0.3837 0.9127  2 Dy 2.83-2.85, 2 Sm 2.96-2.97
Se: 0.8792 0.8792 0.5808  2 Dy 2.82, 1 Sm 2.89

=====

## SmDy2Se4 (PBE)

Data for a relaxed structure of SmDy2Se4.

Calculated values
The calculation puts the uncorrected formation energy at -1.85 eV per atom. The density of states at the Fermi level comes out at 2.1 states/eV/f.u. For the energy above the most stable polymorph in this dataset, the calculation gives 0 meV per atom.

abc: 7.0325 7.0325 13.8517
angles: 90.00 90.00 146.91
Closest atoms and distances in Å follow each position.
Fractional positions:
Sm: 0.1257 0.8743 0.7500  6 Se 2.94-3.00
Sm: 0.8743 0.1257 0.2500  6 Se 2.94-3.00
Dy: 0.3698 0.6302 0.5689  6 Se 2.82-2.92
Dy: 0.3698 0.6302 0.9311  6 Se 2.82-2.92
Dy: 0.6302 0.3698 0.0689  6 Se 2.82-2.92
Dy: 0.6302 0.3698 0.4311  6 Se 2.82-2.92
Se: 0.0000 0.0000 0.0000  4 Dy 2.83
Se: 0.0000 0.0000 0.5000  4 Dy 2.83
Se: 0.2753 0.7247 0.1208  3 Dy 2.89-2.92, 2 Sm 3.00
Se: 0.2753 0.7247 0.3792  3 Dy 2.89-2.92, 2 Sm 3.00
Se: 0.4657 0.5343 0.7500  2 Dy 2.82, 2 Sm 2.94
Se: 0.5343 0.4657 0.2500  2 Dy 2.82, 2 Sm 2.94
Se: 0.7247 0.2753 0.6208  3 Dy 2.89-2.92, 2 Sm 3.00
Se: 0.7247 0.2753 0.8792  3 Dy 2.89-2.92, 2 Sm 3.00

=====

## Sm5Dy3Se8 (PBE)

Data for a relaxed structure of Sm5Dy3Se8.

Calculated values
The calculation puts the uncorrected formation energy at -1.79 eV per atom. The density of states at the Fermi level comes out at 10.7 states/eV/f.u.

abc: 8.2960 8.2960 8.2960
angles: 59.68 59.68 59.68
Closest atoms and distances in Å follow each position.
Fractional positions:
Sm: 0.0000 0.0000 0.0000  6 Se 2.93
Sm: 0.0000 0.5000 0.5000  6 Se 2.96
Sm: 0.5000 0.0000 0.5000  6 Se 2.96
Sm: 0.5000 0.5000 0.0000  6 Se 2.96
Sm: 0.5000 0.5000 0.5000  6 Se 2.93
Dy: 0.0000 0.0000 0.5000  6 Se 2.89
Dy: 0.0000 0.5000 0.0000  6 Se 2.89
Dy: 0.5000 0.0000 0.0000  6 Se 2.89
Se: 0.2435 0.7500 0.7500  2 Dy 2.89, 4 Sm 2.93-2.96
Se: 0.2468 0.2468 0.2468  3 Dy 2.89, 3 Sm 2.96
Se: 0.2500 0.2500 0.7565  2 Dy 2.89, 4 Sm 2.93-2.96
Se: 0.2500 0.7565 0.2500  2 Dy 2.89, 4 Sm 2.93-2.96
Se: 0.7500 0.2435 0.7500  2 Dy 2.89, 4 Sm 2.93-2.96
Se: 0.7500 0.7500 0.2435  2 Dy 2.89, 4 Sm 2.93-2.96
Se: 0.7532 0.7532 0.7532  3 Dy 2.89, 3 Sm 2.96
Se: 0.7565 0.2500 0.2500  2 Dy 2.89, 4 Sm 2.93-2.96

=====

## Sm5DySe6 (PBE)

Data for a relaxed structure of Sm5DySe6.

Calculated values
The calculation puts the uncorrected formation energy at -1.81 eV per atom. The density of states at the Fermi level comes out at 4.9 states/eV/f.u.

abc: 7.2133 7.2133 7.1837
angles: 99.65 99.65 120.11
Closest atoms and distances in Å follow each position.
Fractional positions:
Sm: 0.0000 0.0000 0.0000  6 Se 2.94-2.98
Sm: 0.1674 0.8326 0.5000  6 Se 2.94-2.96
Sm: 0.3293 0.6707 0.0000  6 Se 2.94-2.96
Sm: 0.6707 0.3293 0.0000  6 Se 2.94-2.96
Sm: 0.8326 0.1674 0.5000  6 Se 2.94-2.96
Dy: 0.5000 0.5000 0.5000  6 Se 2.89-2.90
Se: 0.0909 0.4178 0.2541  1 Dy 2.89, 5 Sm 2.94-2.96
Se: 0.2554 0.2554 0.7489  1 Dy 2.90, 5 Sm 2.96-2.98
Se: 0.4178 0.0909 0.2541  1 Dy 2.89, 5 Sm 2.94-2.96
Se: 0.5822 0.9091 0.7459  1 Dy 2.89, 5 Sm 2.94-2.96
Se: 0.7446 0.7446 0.2511  1 Dy 2.90, 5 Sm 2.96-2.98
Se: 0.9091 0.5822 0.7459  1 Dy 2.89, 5 Sm 2.94-2.96

=====

## SmDy2Se4 (PBE)

Data for a relaxed structure of SmDy2Se4.

Calculated values
The calculation puts the uncorrected formation energy at -1.84 eV per atom. The density of states at the Fermi level comes out at 2.7 states/eV/f.u. For the energy above the most stable polymorph in this dataset, the calculation gives 19 meV per atom.

abc: 7.9527 7.9527 7.1444
angles: 115.19 115.19 30.06
Closest atoms and distances in Å follow each position.
Fractional positions:
Sm: 0.0000 0.0000 0.0000  6 Se 2.93-2.97
Dy: 0.2647 0.2647 0.2737  6 Se 2.83-2.94
Dy: 0.7353 0.7353 0.7263  6 Se 2.83-2.94
Se: 0.1267 0.1267 0.4497  3 Dy 2.83-2.90, 1 Sm 2.93
Se: 0.3621 0.3621 0.0074  3 Dy 2.89-2.94, 2 Sm 2.97
Se: 0.6379 0.6379 0.9926  3 Dy 2.89-2.94, 2 Sm 2.97
Se: 0.8733 0.8733 0.5503  3 Dy 2.83-2.90, 1 Sm 2.93

=====

## SmDy3Se6 (PBE)

Data for a relaxed structure of SmDy3Se6.

Calculated values
The calculation puts the uncorrected formation energy at -1.83 eV per atom. The density of states at the Fermi level comes out at 0.0 states/eV/f.u. For the energy above the most stable polymorph in this dataset, the calculation gives 52 meV per atom.

abc: 8.4478 8.4478 8.4478
angles: 90.87 90.87 90.87
Closest atoms and distances in Å follow each position.
Fractional positions:
Sm: 0.0000 0.0000 0.0000  6 Se 2.86
Sm: 0.5000 0.5000 0.5000  6 Se 2.91
Dy: 0.0687 0.7453 0.5784  6 Se 2.84-2.97
Dy: 0.2547 0.4216 0.9313  6 Se 2.84-2.97
Dy: 0.4216 0.9313 0.2547  6 Se 2.84-2.97
Dy: 0.5784 0.0687 0.7453  6 Se 2.84-2.97
Dy: 0.7453 0.5784 0.0687  6 Se 2.84-2.97
Dy: 0.9313 0.2547 0.4216  6 Se 2.84-2.97
Se: 0.0348 0.6759 0.9039  3 Dy 2.84-2.94, 1 Sm 2.86
Se: 0.0961 0.9653 0.3241  3 Dy 2.84-2.94, 1 Sm 2.86
Se: 0.1807 0.4146 0.5935  3 Dy 2.85-2.97, 1 Sm 2.91
Se: 0.3241 0.0961 0.9652  3 Dy 2.84-2.94, 1 Sm 2.86
Se: 0.4065 0.8193 0.5854  3 Dy 2.85-2.97, 1 Sm 2.91
Se: 0.4146 0.5935 0.1807  3 Dy 2.85-2.97, 1 Sm 2.91
Se: 0.5854 0.4065 0.8193  3 Dy 2.85-2.97, 1 Sm 2.91
Se: 0.5935 0.1807 0.4146  3 Dy 2.85-2.97, 1 Sm 2.91
Se: 0.6759 0.9039 0.0347  3 Dy 2.84-2.94, 1 Sm 2.86
Se: 0.8193 0.5854 0.4065  3 Dy 2.85-2.97, 1 Sm 2.91
Se: 0.9039 0.0348 0.6759  3 Dy 2.84-2.94, 1 Sm 2.86
Se: 0.9653 0.3241 0.0961  3 Dy 2.84-2.94, 1 Sm 2.86

=====

## Sm2DySe (PBE)

Data for a relaxed structure of Sm2DySe.

Calculated values
The calculation puts the uncorrected formation energy at -0.78 eV per atom. The density of states at the Fermi level comes out at 4.7 states/eV/f.u.

abc: 9.9428 9.9428 9.9428
angles: 22.23 22.23 22.23
Closest atoms and distances in Å follow each position.
Fractional positions:
Sm: 0.2331 0.2331 0.2331  3 Se 2.94
Sm: 0.7669 0.7669 0.7669  3 Se 2.94
Dy: 0.0000 0.0000 0.0000  6 Sm 3.66, 6 Dy 3.83
Se: 0.5000 0.5000 0.5000  6 Sm 2.94

=====

## Sm3Dy5Se12 (PBE)

Data for a relaxed structure of Sm3Dy5Se12.

Calculated values
The calculation puts the uncorrected formation energy at -1.69 eV per atom. The density of states at the Fermi level comes out at 0.0 states/eV/f.u.

abc: 14.6664 14.6664 14.6664
angles: 109.47 109.47 109.47
Closest atoms and distances in Å follow each position.
Fractional positions:
Sm: 0.1250 0.2500 0.3750  8 Se 3.10-3.22
Sm: 0.1250 0.3750 0.7500  8 Se 3.10-3.22
Sm: 0.2500 0.3750 0.1250  8 Se 3.10-3.22
Sm: 0.2500 0.8750 0.6250  8 Se 3.10-3.22
Sm: 0.3750 0.1250 0.2500  8 Se 3.10-3.22
Sm: 0.3750 0.7500 0.1250  8 Se 3.10-3.22
Sm: 0.6250 0.2500 0.8750  8 Se 3.10-3.22
Sm: 0.6250 0.8750 0.7500  8 Se 3.10-3.22
Sm: 0.7500 0.1250 0.3750  8 Se 3.10-3.22
Sm: 0.7500 0.6250 0.8750  8 Se 3.10-3.22
Sm: 0.8750 0.6250 0.2500  8 Se 3.10-3.22
Sm: 0.8750 0.7500 0.6250  8 Se 3.10-3.22
Dy: 0.0000 0.0000 0.0000  6 Se 2.86
Dy: 0.0000 0.0000 0.5000  6 Se 2.86
Dy: 0.0000 0.5000 0.0000  6 Se 2.86
Dy: 0.0000 0.5000 0.5000  6 Se 2.86
Dy: 0.1250 0.7500 0.8750  4 Se 2.68
Dy: 0.1250 0.8750 0.2500  4 Se 2.68
Dy: 0.2500 0.1250 0.8750  4 Se 2.68
Dy: 0.2500 0.6250 0.3750  4 Se 2.68
Dy: 0.3750 0.2500 0.6250  4 Se 2.68
Dy: 0.3750 0.6250 0.7500  4 Se 2.68
Dy: 0.5000 0.0000 0.0000  6 Se 2.86
Dy: 0.5000 0.0000 0.5000  6 Se 2.86
Dy: 0.5000 0.5000 0.0000  6 Se 2.86
Dy: 0.5000 0.5000 0.5000  6 Se 2.86
Dy: 0.6250 0.3750 0.2500  4 Se 2.68
Dy: 0.6250 0.7500 0.3750  4 Se 2.68
Dy: 0.7500 0.3750 0.6250  4 Se 2.68
Dy: 0.7500 0.8750 0.1250  4 Se 2.68
Dy: 0.8750 0.1250 0.7500  4 Se 2.68
Dy: 0.8750 0.2500 0.1250  4 Se 2.68
Se: 0.0480 0.2224 0.1301  2 Dy 2.68-2.86
Se: 0.0480 0.3255 0.9178  2 Dy 2.68-2.86
Se: 0.0822 0.6301 0.4077  2 Dy 2.68-2.86
Se: 0.0822 0.9520 0.6745  2 Dy 2.68-2.86
Se: 0.0923 0.7224 0.6745  2 Dy 2.68-2.86
Se: 0.0923 0.8699 0.4178  2 Dy 2.68-2.86
Se: 0.1301 0.0480 0.2224  2 Dy 2.68-2.86
Se: 0.1301 0.5822 0.9077  2 Dy 2.68-2.86
Se: 0.1745 0.2224 0.5923  2 Dy 2.68-2.86
Se: 0.1745 0.4520 0.5822  2 Dy 2.68-2.86
Se: 0.2224 0.1301 0.0480  2 Dy 2.68-2.86
Se: 0.2224 0.5923 0.1745  2 Dy 2.68-2.86
Se: 0.2776 0.3255 0.9077  2 Dy 2.68-2.86
Se: 0.2776 0.4520 0.3699  2 Dy 2.68-2.86
Se: 0.3255 0.9077 0.2776  2 Dy 2.68-2.86
Se: 0.3255 0.9178 0.0480  2 Dy 2.68-2.86
Se: 0.3699 0.2776 0.4520  2 Dy 2.68-2.86
Se: 0.3699 0.5923 0.9178  2 Dy 2.68-2.86
Se: 0.4077 0.0822 0.6301  2 Dy 2.68-2.86
Se: 0.4077 0.8255 0.7776  2 Dy 2.68-2.86
Se: 0.4178 0.0923 0.8699  2 Dy 2.68-2.86
Se: 0.4178 0.8255 0.5480  2 Dy 2.68-2.86
Se: 0.4520 0.3699 0.2776  2 Dy 2.68-2.86
Se: 0.4520 0.5822 0.1745  2 Dy 2.68-2.86
Se: 0.5480 0.4178 0.8255  2 Dy 2.68-2.86
Se: 0.5480 0.6301 0.7224  2 Dy 2.68-2.86
Se: 0.5822 0.1745 0.4520  2 Dy 2.68-2.86
Se: 0.5822 0.9077 0.1301  2 Dy 2.68-2.86
Se: 0.5923 0.1745 0.2224  2 Dy 2.68-2.86
Se: 0.5923 0.9178 0.3699  2 Dy 2.68-2.86
Se: 0.6301 0.4077 0.0822  2 Dy 2.68-2.86
Se: 0.6301 0.7224 0.5480  2 Dy 2.68-2.86
Se: 0.6745 0.0822 0.9520  2 Dy 2.68-2.86
Se: 0.6745 0.0923 0.7224  2 Dy 2.68-2.86
Se: 0.7224 0.5480 0.6301  2 Dy 2.68-2.86
Se: 0.7224 0.6745 0.0923  2 Dy 2.68-2.86
Se: 0.7776 0.4077 0.8255  2 Dy 2.68-2.86
Se: 0.7776 0.8699 0.9520  2 Dy 2.68-2.86
Se: 0.8255 0.5480 0.4178  2 Dy 2.68-2.86
Se: 0.8255 0.7776 0.4077  2 Dy 2.68-2.86
Se: 0.8699 0.4178 0.0923  2 Dy 2.68-2.86
Se: 0.8699 0.9520 0.7776  2 Dy 2.68-2.86
Se: 0.9077 0.1301 0.5822  2 Dy 2.68-2.86
Se: 0.9077 0.2776 0.3255  2 Dy 2.68-2.86
Se: 0.9178 0.0480 0.3255  2 Dy 2.68-2.86
Se: 0.9178 0.3699 0.5923  2 Dy 2.68-2.86
Se: 0.9520 0.6745 0.0822  2 Dy 2.68-2.86
Se: 0.9520 0.7776 0.8699  2 Dy 2.68-2.86

=====

## SmDy3Se6 (PBE)

Data for a relaxed structure of SmDy3Se6.

Calculated values
The calculation puts the uncorrected formation energy at -1.88 eV per atom. For the energy above the most stable polymorph in this dataset, the calculation gives 0 meV per atom.

abc: 11.5991 4.1260 11.8929
angles: 90.00 109.06 90.00
Closest atoms and distances in Å follow each position.
Fractional positions:
Sm: 0.0454 0.2500 0.1937  8 Se 2.99-3.15
Sm: 0.9546 0.7500 0.8063  8 Se 2.99-3.15
Dy: 0.1592 0.2500 0.5842  6 Se 2.79-2.91
Dy: 0.3182 0.7500 0.9986  7 Se 2.83-3.07
Dy: 0.4349 0.2500 0.3327  6 Se 2.81-2.91
Dy: 0.5651 0.7500 0.6673  6 Se 2.81-2.91
Dy: 0.6818 0.2500 0.0014  7 Se 2.83-3.07
Dy: 0.8408 0.7500 0.4158  6 Se 2.79-2.91
Se: 0.0832 0.7500 0.4029  3 Dy 2.86-2.91, 2 Sm 3.15
Se: 0.1141 0.2500 0.9650  3 Sm 2.99-3.07, 2 Dy 3.07
Se: 0.1945 0.7500 0.7501  3 Dy 2.79-2.83, 1 Sm 3.07
Se: 0.2569 0.7500 0.2244  3 Dy 2.91-2.99, 2 Sm 3.13
Se: 0.3952 0.2500 0.5613  4 Dy 2.84-2.90
Se: 0.4802 0.2500 0.1146  4 Dy 2.81-3.06
Se: 0.5198 0.7500 0.8854  4 Dy 2.81-3.06
Se: 0.6048 0.7500 0.4387  4 Dy 2.84-2.90
Se: 0.7431 0.2500 0.7756  3 Dy 2.91-2.99, 2 Sm 3.13
Se: 0.8055 0.2500 0.2499  3 Dy 2.79-2.83, 1 Sm 3.07
Se: 0.8859 0.7500 0.0350  3 Sm 2.99-3.07, 2 Dy 3.07
Se: 0.9168 0.2500 0.5971  3 Dy 2.86-2.91, 2 Sm 3.15

=====

## SmDy4Se5 (PBE)

Data for a relaxed structure of SmDy4Se5.

Calculated values
The calculation puts the uncorrected formation energy at -1.76 eV per atom. The density of states at the Fermi level comes out at 4.2 states/eV/f.u. For the energy above the most stable polymorph in this dataset, the calculation gives 5 meV per atom.

abc: 14.8147 14.8147 14.8147
angles: 164.14 164.14 22.51
Closest atoms and distances in Å follow each position.
Fractional positions:
Sm: 0.0000 0.0000 0.0000  6 Se 2.89-2.99
Dy: 0.2038 0.2038 0.0000  6 Se 2.87-2.94
Dy: 0.4023 0.4023 0.0000  6 Se 2.84-2.90
Dy: 0.5977 0.5977 0.0000  6 Se 2.84-2.90
Dy: 0.7962 0.7962 0.0000  6 Se 2.87-2.94
Se: 0.1027 0.1027 0.0000  5 Dy 2.89-2.94, 1 Sm 2.99
Se: 0.3024 0.3024 0.0000  6 Dy 2.87-2.90
Se: 0.5000 0.5000 0.0000  2 Dy 2.84, 4 Sm 2.89
Se: 0.6976 0.6976 0.0000  6 Dy 2.87-2.90
Se: 0.8973 0.8973 0.0000  5 Dy 2.89-2.94, 1 Sm 2.99

=====

## SmDy2Se (PBE)

Data for a relaxed structure of SmDy2Se.

Calculated values
The calculation puts the uncorrected formation energy at -0.81 eV per atom. The density of states at the Fermi level comes out at 3.3 states/eV/f.u. For the energy above the most stable polymorph in this dataset, the calculation gives 0 meV per atom.

abc: 9.7539 9.7539 9.7539
angles: 22.46 22.46 22.46
Closest atoms and distances in Å follow each position.
Fractional positions:
Sm: 0.0000 0.0000 0.0000  6 Dy 3.63-3.65, 6 Sm 3.80
Dy: 0.5654 0.5654 0.5654  3 Se 2.87
Dy: 0.7690 0.7690 0.7690  3 Se 2.87
Se: 0.1671 0.1671 0.1671  6 Dy 2.87